{
  "formula": "ErTm2Hg2",
  "functional": "PBE-GGA",
  "state": "optimized geometry",
  "lattice_angstrom": [[3.677, 0.000, -0.494], [0.000, 5.220, 0.000], [-0.062, 0.000, 13.552]],
  "species": ["Er", "Er", "Tm", "Tm", "Tm", "Tm", "Hg", "Hg", "Hg", "Hg"],
  "fractional_positions": [[0.853, 0.750, 0.706], [0.147, 0.250, 0.294], [0.047, 0.750, 0.095], [0.953, 0.250, 0.905], [0.236, 0.750, 0.472], [0.764, 0.250, 0.528], [0.644, 0.750, 0.289], [0.356, 0.250, 0.711], [0.453, 0.750, 0.905], [0.547, 0.250, 0.095]],
  "m_tot_mub_per_atom": 0.000,
  "formation_enthalpy_0k_mev_per_atom": -384,
  "sg": "P2_1/m",
  "energy_ev_per_cell": -32.06,
  "relative_energy_mev_per_atom": 0
}